Entry 1
Density functional theory data (PBE) for an optimized crystal structure of MgVSe.

For the total magnetization, the calculation gives 0.0 Bohr magnetons per cell. For the theoretical density, the calculation gives 4.65 g/cm³.

The structure belongs to space group C2/m (No. 12); the cell edges are 9.9986, 3.4656 and 6.6169 Å and the angles 90.00°, 106.12° and 90.00°. The asymmetric unit holds Mg at (0.0934, 0.0000, 0.2645), V at (0.1434, 0.5000, 0.9574) and Se at (0.1669, 0.0000, 0.6984).



Entry 2
Density functional theory data (PBE) for an optimized crystal structure of MgVSe.

For the total magnetization, the calculation gives 0.0 Bohr magnetons per cell. For the theoretical density, the calculation gives 4.19 g/cm³.

The structure belongs to space group Cm (No. 8); the cell edges are 12.5814, 3.4677 and 6.3748 Å and the angles 90.00°, 118.45° and 90.00°. The asymmetric unit holds Mg at (0.0000, 0.0000, 0.0000), Mg at (0.2435, 0.0000, 0.9855), V at (0.0389, 0.5000, 0.6957), V at (0.3572, 0.0000, 0.5476), Se at (0.2396, 0.5000, 0.6432) and Se at (0.4264, 0.5000, 0.3389).



Order of stability, best first: entry 1, entry 2



Entry 1
Density functional theory data (PBE) for an optimized crystal structure of YMg3Se.

For the total magnetization, the calculation gives 0.0 Bohr magnetons per cell. For the theoretical density, the calculation gives 2.92 g/cm³.

The structure belongs to space group Pm-3m (No. 221); the cell edges are 5.1525, 5.1525 and 5.1525 Å and the angles 90.00°, 90.00° and 90.00°. The asymmetric unit holds Y at (0.0000, 0.0000, 0.0000), Mg at (0.0000, 0.5000, 0.5000) and Se at (0.5000, 0.5000, 0.5000).



Entry 2
Density functional theory data (PBE) for an optimized crystal structure of YMg3Se.

For the total magnetization, the calculation gives 0.7 Bohr magnetons per cell. For the theoretical density, the calculation gives 1.88 g/cm³.

The structure belongs to space group Pm-3m (No. 221); the cell edges are 5.9648, 5.9648 and 5.9648 Å and the angles 90.00°, 90.00° and 90.00°. The asymmetric unit holds Y at (0.0000, 0.0000, 0.0000), Mg at (0.0000, 0.0000, 0.5000) and Se at (0.5000, 0.5000, 0.5000).



Order of stability, best first: entry 1, entry 2



Entry 1
Density functional theory data (PBE) for an optimized crystal structure of Y2MgSe4.

For the total magnetization, the calculation gives 0.0 Bohr magnetons per cell. For the theoretical density, the calculation gives 4.58 g/cm³.

The structure belongs to space group Pnma (No. 62); the cell edges are 13.2027, 4.0271 and 14.1368 Å and the angles 90.00°, 90.00° and 90.00°. The asymmetric unit holds Y at (0.1162, 0.2500, 0.0742), Y at (0.1406, 0.2500, 0.7020), Mg at (0.1100, 0.7500, 0.4574), Se at (0.0061, 0.7500, 0.6180), Se at (0.0290, 0.2500, 0.8820), Se at (0.2238, 0.2500, 0.2480) and Se at (0.2387, 0.2500, 0.5134).



Entry 2
Density functional theory data (PBE) for an optimized crystal structure of Y2MgSe4.

For the total magnetization, the calculation gives 0.0 Bohr magnetons per cell. For the theoretical density, the calculation gives 4.53 g/cm³.

The structure belongs to space group Pnma (No. 62); the cell edges are 8.2007, 7.6788 and 12.0494 Å and the angles 90.00°, 90.00° and 90.00°. The asymmetric unit holds Y at (0.0590, 0.2500, 0.0159), Y at (0.0630, 0.7500, 0.3142), Mg at (0.1762, 0.2500, 0.4028), Se at (0.1157, 0.7500, 0.5504), Se at (0.1263, 0.0001, 0.8404) and Se at (0.2365, 0.7500, 0.1098).



Order of stability, best first: entry 1, entry 2



Entry 1
Density functional theory data (PBE) for an optimized crystal structure of YMgSe3.

For the total magnetization, the calculation gives 0.0 Bohr magnetons per cell. For the theoretical density, the calculation gives 3.62 g/cm³.

The structure belongs to space group Pm-3m (No. 221); the cell edges are 5.4372, 5.4372 and 5.4372 Å and the angles 90.00°, 90.00° and 90.00°. The asymmetric unit holds Y at (0.0000, 0.0000, 0.0000), Mg at (0.5000, 0.5000, 0.5000) and Se at (0.0000, 0.0000, 0.5000).



Entry 2
Density functional theory data (PBE) for an optimized crystal structure of YMgSe3.

For the total magnetization, the calculation gives 0.0 Bohr magnetons per cell. For the theoretical density, the calculation gives 4.35 g/cm³.

The structure belongs to space group R-3 (No. 148, hexagonal axes); the cell edges are 7.0898, 7.0898 and 18.4190 Å and the angles 90.00°, 90.00° and 120.00°. The asymmetric unit holds Y at (0.0000, 0.0000, 0.1536), Mg at (0.0000, 0.0000, 0.3470) and Se at (0.0107, 0.3176, 0.2527).



Entry 3
Density functional theory data (PBE) for an optimized crystal structure of YMgSe3.

For the total magnetization, the calculation gives 0.0 Bohr magnetons per cell. For the theoretical density, the calculation gives 4.68 g/cm³.

The structure belongs to space group Pm-3m (No. 221); the cell edges are 4.9905, 4.9905 and 4.9905 Å and the angles 90.00°, 90.00° and 90.00°. The asymmetric unit holds Y at (0.0000, 0.0000, 0.0000), Mg at (0.5000, 0.5000, 0.5000) and Se at (0.0000, 0.5000, 0.5000).



Order of stability, best first: entry 2, entry 3, entry 1



Entry 1
Density functional theory data (PBE) for an optimized crystal structure of YMgSe.

For the total magnetization, the calculation gives 0.0 Bohr magnetons per cell. For the theoretical density, the calculation gives 3.96 g/cm³.

The structure belongs to space group F-43m (No. 216); the cell edges are 6.8565, 6.8565 and 6.8565 Å and the angles 90.00°, 90.00° and 90.00°. The asymmetric unit holds Y at (0.0000, 0.0000, 0.0000), Mg at (0.0000, 0.0000, 0.5000) and Se at (0.2500, 0.2500, 0.7500).



Entry 2
Density functional theory data (PBE) for an optimized crystal structure of YMgSe.

For the total magnetization, the calculation gives 0.0 Bohr magnetons per cell. For the theoretical density, the calculation gives 3.95 g/cm³.

The structure belongs to space group R-3m (No. 166, hexagonal axes); the cell edges are 4.9172, 4.9172 and 23.1705 Å and the angles 90.00°, 90.00° and 120.00°. The asymmetric unit holds Y at (0.0000, 0.0000, 0.0852), Mg at (0.0000, 0.0000, 0.3307) and Se at (0.0000, 0.0000, 0.2150).



Order of stability, best first: entry 2, entry 1



Entry 1
Density functional theory data (PBE) for an optimized crystal structure of YMgSe.

For the total magnetization, the calculation gives 0.9 Bohr magnetons per cell. For the theoretical density, the calculation gives 4.22 g/cm³.

The structure belongs to space group I4mm (No. 107); the cell edges are 3.5790, 3.5790 and 11.7961 Å and the angles 90.00°, 90.00° and 90.00°. The asymmetric unit holds Y at (0.0000, 0.0000, 0.0000), Mg at (0.0000, 0.0000, 0.2971) and Se at (0.0000, 0.0000, 0.6266).



Entry 2
Density functional theory data (PBE) for an optimized crystal structure of YMgSe.

For the total magnetization, the calculation gives 2.3 Bohr magnetons per cell. For the theoretical density, the calculation gives 3.66 g/cm³.

The structure belongs to space group F-43m (No. 216); the cell edges are 7.0373, 7.0373 and 7.0373 Å and the angles 90.00°, 90.00° and 90.00°. The asymmetric unit holds Y at (0.0000, 0.0000, 0.0000), Mg at (0.2500, 0.2500, 0.2500) and Se at (0.2500, 0.2500, 0.7500).



Entry 3
Density functional theory data (PBE) for an optimized crystal structure of YMgSe.

For the total magnetization, the calculation gives 0.6 Bohr magnetons per cell. For the theoretical density, the calculation gives 4.03 g/cm³.

The structure belongs to space group P3m1 (No. 156); the cell edges are 3.8272, 3.8272 and 6.2369 Å and the angles 90.00°, 90.00° and 120.00°. The asymmetric unit holds Y at (0.0000, 0.0000, 0.0000), Mg at (0.6667, 0.3333, 0.4256) and Se at (0.3333, 0.6667, 0.7028).



Order of stability, best first: entry 3, entry 1, entry 2



Entry 1
Density functional theory data (PBE) for an optimized crystal structure of Yb2MgSe4.

For the total magnetization, the calculation gives 0.2 Bohr magnetons per cell. For the theoretical density, the calculation gives 6.10 g/cm³.

The structure belongs to space group Pnma (No. 62); the cell edges are 9.8280, 5.4675 and 13.8958 Å and the angles 90.00°, 90.00° and 90.00°. The asymmetric unit holds Yb at (0.0303, 0.2500, 0.2208), Yb at (0.1262, 0.2500, 0.5789), Mg at (0.1659, 0.2500, 0.9829), Se at (0.0518, 0.7500, 0.1132), Se at (0.1428, 0.0012, 0.3914) and Se at (0.2009, 0.7500, 0.6480).



Entry 2
Density functional theory data (PBE) for an optimized crystal structure of Yb2MgSe4.

For the total magnetization, the calculation gives 0.1 Bohr magnetons per cell. For the theoretical density, the calculation gives 6.20 g/cm³.

The structure belongs to space group Pnma (No. 62); the cell edges are 13.4285, 3.9897 and 13.7147 Å and the angles 90.00°, 90.00° and 90.00°. The asymmetric unit holds Yb at (0.1164, 0.2500, 0.0732), Yb at (0.1359, 0.2500, 0.7034), Mg at (0.1110, 0.7500, 0.4543), Se at (0.0053, 0.7500, 0.6204), Se at (0.0280, 0.2500, 0.8825), Se at (0.2248, 0.2500, 0.2536) and Se at (0.2375, 0.2500, 0.5113).



Order of stability, best first: entry 2, entry 1



Entry 1
Density functional theory data (PBE) for an optimized crystal structure of YbMgSe3.

For the total magnetization, the calculation gives 0.0 Bohr magnetons per cell. For the theoretical density, the calculation gives 5.48 g/cm³.

The structure belongs to space group R-3 (No. 148, hexagonal axes); the cell edges are 7.0362, 7.0362 and 18.4239 Å and the angles 90.00°, 90.00° and 120.00°. The asymmetric unit holds Yb at (0.0000, 0.0000, 0.1553), Mg at (0.0000, 0.0000, 0.3466) and Se at (0.0061, 0.6899, 0.2541).



Entry 2
Density functional theory data (PBE) for an optimized crystal structure of YbMgSe3.

For the total magnetization, the calculation gives 1.0 Bohr magnetons per cell. For the theoretical density, the calculation gives 5.70 g/cm³.

The structure belongs to space group C2/m (No. 12); the cell edges are 7.6949, 9.0270 and 7.7581 Å and the angles 90.00°, 110.04° and 90.00°. The asymmetric unit holds Yb at (0.2266, 0.0000, 0.4754), Mg at (0.0000, 0.3100, 0.0000), Se at (0.0783, 0.5000, 0.7715) and Se at (0.1134, 0.1480, 0.7671).



Entry 3
Density functional theory data (PBE) for an optimized crystal structure of YbMgSe3.

For the total magnetization, the calculation gives 0.9 Bohr magnetons per cell. For the theoretical density, the calculation gives 5.46 g/cm³.

The structure belongs to space group C2/m (No. 12); the cell edges are 7.3009, 13.3782 and 5.5301 Å and the angles 90.00°, 101.86° and 90.00°. The asymmetric unit holds Yb at (0.1594, 0.0000, 0.3004), Mg at (0.0000, 0.3349, 0.0000), Se at (0.2291, 0.2092, 0.2964) and Se at (0.2405, 0.5000, 0.1682).



Order of stability, best first: entry 2, entry 3, entry 1